(1)
Entry from Alexandria: an optimized crystal structure of CaSnO6 (PBE).

Results
M_tot   6.00 μB per cell
Theoretical density   2.50 Mg/m³
Formation energy without anion corrections   -0.3826 eV per atom
D(E_F)   8.03 states/eV/f.u.
V   21.19 Å³ per atom

a = 6.2120 Å, b = 6.2120 Å, c = 6.2120 Å
α = 60.00°, β = 60.00°, γ = 60.00°
Atoms (fractional coordinates):
Ca  0.0000  0.0000  0.0000
Sn  0.5000  0.5000  0.5000
O  0.2653  0.2653  0.7347
O  0.2653  0.7347  0.2653
O  0.2653  0.7347  0.7347
O  0.7347  0.2653  0.2653
O  0.7347  0.2653  0.7347
O  0.7347  0.7347  0.2653



(2)
Entry from Alexandria: an optimized crystal structure of CaSnO2 (PBE).

Results
M_tot   0.00 μB per cell
Theoretical density   3.91 Mg/m³
Formation energy without anion corrections   -1.9640 eV per atom
D(E_F)   0.00 states/eV/f.u.
V   20.25 Å³ per atom

a = 3.5118 Å, b = 8.9865 Å, c = 10.3696 Å
α = 90.19°, β = 93.17°, γ = 97.43°
Atoms (fractional coordinates):
Ca  0.2186  0.3698  0.0723
Ca  0.2326  0.6970  0.2581
Ca  0.7674  0.3030  0.7419
Ca  0.7814  0.6302  0.9277
Sn  0.1863  0.9670  0.8380
Sn  0.4888  0.6720  0.6077
Sn  0.5112  0.3280  0.3923
Sn  0.8137  0.0330  0.1620
O  0.0360  0.4339  0.3014
O  0.2105  0.1487  0.7262
O  0.2983  0.6250  0.0580
O  0.3878  0.1666  0.2426
O  0.6122  0.8334  0.7574
O  0.7017  0.3750  0.9420
O  0.7895  0.8513  0.2738
O  0.9640  0.5661  0.6986



(3)
Entry from Alexandria: an optimized crystal structure of Sr2CaSnO (PBE).

Results
M_tot   0.00 μB per cell
Theoretical density   4.44 Mg/m³
Formation energy without anion corrections   -1.5309 eV per atom
D(E_F)   0.35 states/eV/f.u.
V   26.18 Å³ per atom

a = 5.1506 Å, b = 5.1506 Å, c = 4.9349 Å
α = 90.00°, β = 90.00°, γ = 90.00°
Atoms (fractional coordinates):
Sr  0.0000  0.5000  0.0000
Sr  0.5000  0.0000  0.0000
Ca  0.0000  0.0000  0.5000
Sn  0.5000  0.5000  0.5000
O  0.0000  0.0000  0.0000



(4)
Entry from Alexandria: an optimized crystal structure of SrCa3Sn4O12 (PBE).

Results
M_tot   0.00 μB per cell
Theoretical density   5.54 Mg/m³
Formation energy without anion corrections   -2.2343 eV per atom
D(E_F)   0.00 states/eV/f.u.
V   13.10 Å³ per atom

a = 5.6322 Å, b = 8.0584 Å, c = 5.7729 Å
α = 90.00°, β = 90.05°, γ = 90.00°
Atoms (fractional coordinates):
Sr  0.0000  0.0000  0.0000
Ca  0.0233  0.5000  0.9023
Ca  0.4992  0.5000  0.4103
Ca  0.5269  0.0000  0.5093
Sn  0.0102  0.2521  0.4558
Sn  0.0102  0.7479  0.4558
Sn  0.5111  0.2531  0.9581
Sn  0.5111  0.7469  0.9581
O  0.1139  0.0000  0.4364
O  0.2080  0.3041  0.1579
O  0.2080  0.6959  0.1579
O  0.3072  0.3073  0.6629
O  0.3072  0.6927  0.6629
O  0.4296  0.0000  0.9162
O  0.6158  0.5000  0.0028
O  0.7060  0.1978  0.2587
O  0.7060  0.8022  0.2587
O  0.8048  0.2058  0.7484
O  0.8048  0.7942  0.7484
O  0.9073  0.5000  0.4939



(5)
Entry from Alexandria: an optimized crystal structure of SrCa2SnO (PBE).

Results
M_tot   0.00 μB per cell
Theoretical density   4.10 Mg/m³
Formation energy without anion corrections   -1.5658 eV per atom
D(E_F)   0.27 states/eV/f.u.
V   24.52 Å³ per atom

a = 4.9121 Å, b = 4.9121 Å, c = 5.0819 Å
α = 90.00°, β = 90.00°, γ = 90.00°
Atoms (fractional coordinates):
Sr  0.0000  0.0000  0.0000
Ca  0.0000  0.5000  0.5000
Ca  0.5000  0.0000  0.5000
Sn  0.5000  0.5000  0.0000
O  0.0000  0.0000  0.5000



(6)
Entry from Alexandria: an optimized crystal structure of SrCaZrSnO6 (PBE).

Results
M_tot   0.00 μB per cell
Theoretical density   5.10 Mg/m³
Formation energy without anion corrections   -2.6484 eV per atom
D(E_F)   0.00 states/eV/f.u.
V   14.11 Å³ per atom

a = 5.8431 Å, b = 5.8431 Å, c = 5.8431 Å
α = 60.00°, β = 60.00°, γ = 60.00°
Atoms (fractional coordinates):
Sr  0.0000  0.0000  0.0000
Ca  0.5000  0.5000  0.5000
Zr  0.7500  0.7500  0.7500
Sn  0.2500  0.2500  0.2500
O  0.0019  0.0019  0.4981
O  0.0019  0.4981  0.0019
O  0.0019  0.4981  0.4981
O  0.4981  0.0019  0.0019
O  0.4981  0.0019  0.4981
O  0.4981  0.4981  0.0019



(7)
Entry from Alexandria: an optimized crystal structure of CaTaSn2O8 (PBE).

Results
M_tot   0.61 μB per cell
Theoretical density   6.16 Mg/m³
Formation energy without anion corrections   -2.0799 eV per atom
D(E_F)   6.56 states/eV/f.u.
V   13.17 Å³ per atom

a = 4.8858 Å, b = 4.8858 Å, c = 6.6229 Å
α = 90.00°, β = 90.00°, γ = 91.41°
Atoms (fractional coordinates):
Ca  0.0000  0.0000  0.0000
Ta  0.0000  0.0000  0.5000
Sn  0.5000  0.5000  0.2534
Sn  0.5000  0.5000  0.7466
O  0.1993  0.1993  0.2843
O  0.1993  0.1993  0.7157
O  0.2971  0.7029  0.5000
O  0.3221  0.6779  0.0000
O  0.6779  0.3221  0.0000
O  0.7029  0.2971  0.5000
O  0.8007  0.8007  0.2843
O  0.8007  0.8007  0.7157



(8)
Entry from Alexandria: an optimized crystal structure of Ca2Ta2SnO8 (PBE).

Results
M_tot   0.00 μB per cell
Theoretical density   6.05 Mg/m³
Formation energy without anion corrections   -2.6760 eV per atom
D(E_F)   0.00 states/eV/f.u.
V   14.54 Å³ per atom

a = 10.5809 Å, b = 10.5809 Å, c = 5.4492 Å
α = 92.07°, β = 92.07°, γ = 38.31°
Atoms (fractional coordinates):
Ca  0.0645  0.3599  0.2414
Ca  0.3599  0.0645  0.7414
Ca  0.6401  0.9355  0.2586
Ca  0.9355  0.6401  0.7586
Ta  0.2364  0.5144  0.2540
Ta  0.4856  0.7636  0.2460
Ta  0.5144  0.2364  0.7540
Ta  0.7636  0.4856  0.7460
Sn  0.1861  0.8139  0.7500
Sn  0.8139  0.1861  0.2500
O  0.0186  0.3602  0.6443
O  0.1166  0.7404  0.0988
O  0.2375  0.3817  0.9770
O  0.2596  0.8834  0.4012
O  0.3192  0.5241  0.5871
O  0.3602  0.0186  0.1443
O  0.3817  0.2375  0.4770
O  0.4759  0.6808  0.9129
O  0.5241  0.3192  0.0871
O  0.6183  0.7625  0.5230
O  0.6398  0.9814  0.8557
O  0.6808  0.4759  0.4129
O  0.7404  0.1166  0.5988
O  0.7625  0.6183  0.0230
O  0.8834  0.2596  0.9012
O  0.9814  0.6398  0.3557



(9)
Entry from Alexandria: an optimized crystal structure of CaTaSnO6 (PBE).

Results
M_tot   2.07 μB per cell
Theoretical density   5.71 Mg/m³
Formation energy without anion corrections   -2.2291 eV per atom
D(E_F)   5.34 states/eV/f.u.
V   14.08 Å³ per atom

a = 5.4477 Å, b = 5.4477 Å, c = 9.8592 Å
α = 90.00°, β = 90.00°, γ = 120.00°
Atoms (fractional coordinates):
Ca  0.0000  0.0000  0.0000
Ca  0.0000  0.0000  0.5000
Ta  0.3333  0.6667  0.2500
Ta  0.6667  0.3333  0.7500
Sn  0.3333  0.6667  0.7500
Sn  0.6667  0.3333  0.2500
O  0.0118  0.3702  0.1390
O  0.0118  0.6415  0.3610
O  0.3585  0.3702  0.3610
O  0.3585  0.9882  0.1390
O  0.3702  0.0118  0.6390
O  0.3702  0.3585  0.8610
O  0.6298  0.6415  0.1390
O  0.6298  0.9882  0.3610
O  0.6415  0.0118  0.8610
O  0.6415  0.6298  0.6390
O  0.9882  0.3585  0.6390
O  0.9882  0.6298  0.8610



(10)
Entry from Alexandria: an optimized crystal structure of CaTcSnO6 (PBE).

Results
M_tot   2.00 μB per cell
Theoretical density   4.73 Mg/m³
Formation energy without anion corrections   -1.7776 eV per atom
D(E_F)   3.21 states/eV/f.u.
V   13.76 Å³ per atom

a = 5.3515 Å, b = 5.3515 Å, c = 9.9891 Å
α = 90.00°, β = 90.00°, γ = 120.00°
Atoms (fractional coordinates):
Ca  0.0000  0.0000  0.0000
Ca  0.0000  0.0000  0.5000
Tc  0.3333  0.6667  0.2500
Tc  0.6667  0.3333  0.7500
Sn  0.3333  0.6667  0.7500
Sn  0.6667  0.3333  0.2500
O  0.0214  0.3784  0.1412
O  0.0214  0.6430  0.3588
O  0.3570  0.3784  0.3588
O  0.3570  0.9786  0.1412
O  0.3784  0.0214  0.6412
O  0.3784  0.3570  0.8588
O  0.6216  0.6430  0.1412
O  0.6216  0.9786  0.3588
O  0.6430  0.0214  0.8588
O  0.6430  0.6216  0.6412
O  0.9786  0.3570  0.6412
O  0.9786  0.6216  0.8588



(11)
Entry from Alexandria: an optimized crystal structure of CaSn2TeO8 (PBE).

Results
M_tot   0.00 μB per cell
Theoretical density   5.68 Mg/m³
Formation energy without anion corrections   -1.6266 eV per atom
D(E_F)   0.01 states/eV/f.u.
V   12.98 Å³ per atom

a = 4.8542 Å, b = 6.6054 Å, c = 4.8594 Å
α = 90.00°, β = 91.36°, γ = 90.00°
Atoms (fractional coordinates):
Ca  0.0000  0.0000  0.0000
Sn  0.5000  0.2478  0.5000
Sn  0.5000  0.7522  0.5000
Te  0.0000  0.5000  0.0000
O  0.1933  0.2851  0.1916
O  0.1933  0.7149  0.1916
O  0.2946  0.5000  0.7035
O  0.3179  0.0000  0.6807
O  0.6821  0.0000  0.3193
O  0.7054  0.5000  0.2965
O  0.8067  0.2851  0.8084
O  0.8067  0.7149  0.8084



(12)
Entry from Alexandria: an optimized crystal structure of CaSnTeO6 (PBE).

Results
M_tot   0.00 μB per cell
Theoretical density   5.06 Mg/m³
Formation energy without anion corrections   -1.7740 eV per atom
D(E_F)   0.00 states/eV/f.u.
V   13.95 Å³ per atom

a = 5.3504 Å, b = 5.3504 Å, c = 10.1313 Å
α = 90.00°, β = 90.00°, γ = 120.00°
Atoms (fractional coordinates):
Ca  0.0000  0.0000  0.0000
Ca  0.0000  0.0000  0.5000
Sn  0.3333  0.6667  0.2500
Sn  0.6667  0.3333  0.7500
Te  0.3333  0.6667  0.7500
Te  0.6667  0.3333  0.2500
O  0.0191  0.3767  0.6409
O  0.0191  0.6424  0.8591
O  0.3576  0.3767  0.8591
O  0.3576  0.9809  0.6409
O  0.3767  0.0191  0.1409
O  0.3767  0.3576  0.3591
O  0.6233  0.6424  0.6409
O  0.6233  0.9809  0.8591
O  0.6424  0.0191  0.3591
O  0.6424  0.6233  0.1409
O  0.9809  0.3576  0.1409
O  0.9809  0.6233  0.3591